(1)
DFT (PBE) results for a relaxed structure of La2InAg.

## Properties
* space group: P4mm
* VASP energy: -4.02 eV per atom
* ΔE_f: -0.16 eV/atom

Cell: 3.628 3.628 8.877 Å, 90.00 90.00 90.00°
Element x y z (fractional)
La (0.000, 0.000, 0.000)
La (0.500, 0.500, 0.332)
In (0.500, 0.500, 0.742)
Ag (0.000, 0.000, 0.569)

(2)
DFT (PBE) results for a relaxed structure of La2In5Ag3.

## Properties
* space group: C2/c
* VASP energy: -3.55 eV per atom
* ΔE_f: -0.34 eV/atom
* energy relative to the lowest polymorph listed for this composition: 14.9 meV per atom

Cell: 9.412 9.412 6.556 Å, 110.27 110.27 78.60°
Element x y z (fractional)
La (0.112, 0.627, 0.870)
La (0.373, 0.888, 0.630)
La (0.627, 0.112, 0.370)
La (0.888, 0.373, 0.130)
In (0.000, 0.000, 0.250)
In (0.000, 0.000, 0.750)
In (0.242, 0.538, 0.390)
In (0.258, 0.259, 0.008)
In (0.259, 0.258, 0.508)
In (0.462, 0.758, 0.110)
In (0.538, 0.242, 0.890)
In (0.741, 0.742, 0.492)
In (0.742, 0.741, 0.992)
In (0.758, 0.462, 0.610)
Ag (0.000, 0.259, 0.629)
Ag (0.000, 0.741, 0.371)
Ag (0.259, 0.000, 0.129)
Ag (0.500, 0.500, 0.250)
Ag (0.500, 0.500, 0.750)
Ag (0.741, 0.000, 0.871)

(3)
DFT (PBE) results for a relaxed structure of La11In9Ag4.

## Properties
* space group: Cmmm
* VASP energy: -4.22 eV per atom
* ΔE_f: -0.46 eV/atom

Cell: 13.872 13.872 3.933 Å, 90.00 90.00 112.71°
Element x y z (fractional)
La (0.000, 0.000, 0.000)
La (0.056, 0.411, 0.000)
La (0.161, 0.839, 0.000)
La (0.302, 0.302, 0.000)
La (0.369, 0.631, 0.000)
La (0.411, 0.056, 0.000)
La (0.589, 0.944, 0.000)
La (0.631, 0.369, 0.000)
La (0.698, 0.698, 0.000)
La (0.839, 0.161, 0.000)
La (0.944, 0.589, 0.000)
In (0.074, 0.218, 0.500)
In (0.163, 0.632, 0.500)
In (0.218, 0.074, 0.500)
In (0.368, 0.837, 0.500)
In (0.500, 0.500, 0.500)
In (0.632, 0.163, 0.500)
In (0.782, 0.926, 0.500)
In (0.837, 0.368, 0.500)
In (0.926, 0.782, 0.500)
Ag (0.245, 0.448, 0.500)
Ag (0.448, 0.245, 0.500)
Ag (0.552, 0.755, 0.500)
Ag (0.755, 0.552, 0.500)

(4)
DFT (PBE) results for a relaxed structure of La3In3Ag.

## Properties
* space group: C2/m
* VASP energy: -4.14 eV per atom
* ΔE_f: -0.45 eV/atom

Cell: 6.293 6.293 15.996 Å, 108.28 108.28 45.52°
Element x y z (fractional)
La (0.044, 0.044, 0.385)
La (0.101, 0.101, 0.922)
La (0.237, 0.237, 0.230)
La (0.763, 0.763, 0.770)
La (0.899, 0.899, 0.078)
La (0.956, 0.956, 0.615)
In (0.367, 0.367, 0.455)
In (0.386, 0.386, 0.923)
In (0.474, 0.474, 0.767)
In (0.526, 0.526, 0.233)
In (0.614, 0.614, 0.077)
In (0.633, 0.633, 0.545)
Ag (0.255, 0.255, 0.608)
Ag (0.745, 0.745, 0.392)

(5)
DFT (PBE) results for a relaxed structure of LiLaInAg2.

## Properties
* space group: P4/mmm
* VASP energy: -3.18 eV per atom
* ΔE_f: -0.12 eV/atom

Cell: 4.845 4.845 4.910 Å, 90.00 90.00 90.00°
Element x y z (fractional)
Li (0.000, 0.000, 0.000)
La (0.500, 0.500, 0.500)
In (0.000, 0.000, 0.500)
Ag (0.000, 0.500, 0.000)
Ag (0.500, 0.000, 0.000)

(6)
DFT (PBE) results for a relaxed structure of LiLa2InAg6.

## Properties
* space group: P-1
* VASP energy: -3.31 eV per atom
* ΔE_f: -0.15 eV/atom

Cell: 5.682 6.969 7.122 Å, 92.84 113.43 113.84°
Element x y z (fractional)
Li (0.000, 0.000, 0.000)
La (0.239, 0.730, 0.749)
La (0.761, 0.270, 0.251)
In (0.500, 0.500, 0.500)
Ag (0.188, 0.179, 0.694)
Ag (0.243, 0.427, 0.058)
Ag (0.312, 0.822, 0.306)
Ag (0.688, 0.178, 0.694)
Ag (0.757, 0.573, 0.942)
Ag (0.812, 0.821, 0.306)

(7)
DFT (PBE) results for a relaxed structure of Li2LaInAg.

## Properties
* space group: Imm2
* VASP energy: -3.08 eV per atom
* ΔE_f: -0.21 eV/atom

Cell: 7.251 7.251 7.251 Å, 151.83 140.64 49.10°
Element x y z (fractional)
Li (0.000, 0.000, 0.000)
Li (0.839, 0.339, 0.500)
La (0.225, 0.725, 0.500)
In (0.456, 0.456, 0.000)
Ag (0.631, 0.131, 0.500)

(8)
DFT (PBE) results for a relaxed structure of LiLaIn4Ag2.

## Properties
* space group: R-3m
* VASP energy: -3.20 eV per atom
* ΔE_f: -0.26 eV/atom

Cell: 9.678 9.678 9.678 Å, 28.72 28.72 28.72°
Element x y z (fractional)
Li (0.000, 0.000, 0.000)
La (0.500, 0.500, 0.500)
In (0.105, 0.105, 0.105)
In (0.372, 0.372, 0.372)
In (0.628, 0.628, 0.628)
In (0.895, 0.895, 0.895)
Ag (0.263, 0.263, 0.263)
Ag (0.737, 0.737, 0.737)

(9)
DFT (PBE) results for a relaxed structure of Li2LaIn4Ag.

## Properties
* space group: R-3m
* VASP energy: -3.12 eV per atom
* ΔE_f: -0.30 eV/atom

Cell: 9.940 9.940 9.940 Å, 27.63 27.63 27.63°
Element x y z (fractional)
Li (0.234, 0.234, 0.234)
Li (0.766, 0.766, 0.766)
La (0.000, 0.000, 0.000)
In (0.122, 0.122, 0.122)
In (0.398, 0.398, 0.398)
In (0.602, 0.602, 0.602)
In (0.878, 0.878, 0.878)
Ag (0.500, 0.500, 0.500)

(10)
DFT (PBE) results for a relaxed structure of LiLa2In6Ag.

## Properties
* space group: P-1
* VASP energy: -3.30 eV per atom
* ΔE_f: -0.20 eV/atom

Cell: 6.385 7.240 7.644 Å, 91.21 114.01 116.11°
Element x y z (fractional)
Li (0.000, 0.000, 0.000)
La (0.425, 0.602, 0.239)
La (0.575, 0.398, 0.761)
In (0.029, 0.281, 0.788)
In (0.033, 0.872, 0.667)
In (0.495, 0.129, 0.328)
In (0.505, 0.871, 0.672)
In (0.967, 0.128, 0.333)
In (0.971, 0.719, 0.212)
Ag (0.000, 0.500, 0.500)

(11)
DFT (PBE) results for a relaxed structure of LaMg2In2Ag2.

## Properties
* space group: R-3m
* VASP energy: -3.03 eV per atom
* ΔE_f: -0.28 eV/atom

Cell: 9.021 9.021 9.021 Å, 30.40 30.40 30.40°
Element x y z (fractional)
La (0.000, 0.000, 0.000)
Mg (0.138, 0.138, 0.138)
Mg (0.862, 0.862, 0.862)
In (0.259, 0.259, 0.259)
In (0.741, 0.741, 0.741)
Ag (0.440, 0.440, 0.440)
Ag (0.560, 0.560, 0.560)

(12)
DFT (PBE) results for a relaxed structure of La2MgIn3Ag4.

## Properties
* space group: P-4m2
* VASP energy: -3.40 eV per atom
* ΔE_f: -0.29 eV/atom

Cell: 4.654 4.654 11.465 Å, 90.00 90.00 90.00°
Element x y z (fractional)
La (0.000, 0.500, 0.240)
La (0.500, 0.000, 0.760)
Mg (0.000, 0.000, 0.500)
In (0.000, 0.500, 0.867)
In (0.500, 0.000, 0.133)
In (0.500, 0.500, 0.500)
Ag (0.000, 0.000, 0.000)
Ag (0.000, 0.500, 0.633)
Ag (0.500, 0.000, 0.367)
Ag (0.500, 0.500, 0.000)

(13)
DFT (PBE) results for a relaxed structure of LaMgIn4Ag2.

## Properties
* space group: R-3m
* VASP energy: -3.09 eV per atom
* ΔE_f: -0.19 eV/atom

Cell: 9.849 9.849 9.849 Å, 28.64 28.64 28.64°
Element x y z (fractional)
La (0.000, 0.000, 0.000)
Mg (0.500, 0.500, 0.500)
In (0.125, 0.125, 0.125)
In (0.393, 0.393, 0.393)
In (0.607, 0.607, 0.607)
In (0.875, 0.875, 0.875)
Ag (0.242, 0.242, 0.242)
Ag (0.758, 0.758, 0.758)

(14)
DFT (PBE) results for a relaxed structure of LaMgIn2Ag2.

## Properties
* space group: P-3m1
* VASP energy: -3.26 eV per atom
* ΔE_f: -0.31 eV/atom

Cell: 4.815 4.815 7.184 Å, 90.00 90.00 120.00°
Element x y z (fractional)
La (0.000, 0.000, 0.000)
Mg (0.000, 0.000, 0.500)
In (0.333, 0.667, 0.263)
In (0.667, 0.333, 0.737)
Ag (0.333, 0.667, 0.693)
Ag (0.667, 0.333, 0.307)

(15)
DFT (PBE) results for a relaxed structure of LaMgIn2Ag4.

## Properties
* space group: R-3m
* VASP energy: -3.16 eV per atom
* ΔE_f: -0.24 eV/atom

Cell: 9.338 9.338 9.338 Å, 29.67 29.67 29.67°
Element x y z (fractional)
La (0.000, 0.000, 0.000)
Mg (0.500, 0.500, 0.500)
In (0.248, 0.248, 0.248)
In (0.752, 0.752, 0.752)
Ag (0.135, 0.135, 0.135)
Ag (0.397, 0.397, 0.397)
Ag (0.603, 0.603, 0.603)
Ag (0.865, 0.865, 0.865)

(16)
DFT (PBE) results for a relaxed structure of LaMg2InAg4.

## Properties
* space group: R-3m
* VASP energy: -2.97 eV per atom
* ΔE_f: -0.19 eV/atom

Cell: 9.598 9.598 9.598 Å, 28.57 28.57 28.57°
Element x y z (fractional)
La (0.000, 0.000, 0.000)
Mg (0.242, 0.242, 0.242)
Mg (0.758, 0.758, 0.758)
In (0.500, 0.500, 0.500)
Ag (0.125, 0.125, 0.125)
Ag (0.396, 0.396, 0.396)
Ag (0.604, 0.604, 0.604)
Ag (0.875, 0.875, 0.875)

(17)
DFT (PBE) results for a relaxed structure of NaLaInAg.

## Properties
* space group: F-43m
* VASP energy: -3.20 eV per atom
* ΔE_f: -0.24 eV/atom

Cell: 5.186 5.186 5.186 Å, 60.00 60.00 60.00°
Element x y z (fractional)
Na (0.000, 0.000, 0.000)
La (0.750, 0.750, 0.750)
In (0.250, 0.250, 0.250)
Ag (0.500, 0.500, 0.500)

(18)
DFT (PBE) results for a relaxed structure of LaNd2In2Ag2.

## Properties
* space group: R-3m
* VASP energy: -3.99 eV per atom
* ΔE_f: -0.33 eV/atom

Cell: 9.699 9.699 9.699 Å, 29.53 29.53 29.53°
Element x y z (fractional)
La (0.000, 0.000, 0.000)
Nd (0.127, 0.127, 0.127)
Nd (0.873, 0.873, 0.873)
In (0.260, 0.260, 0.260)
In (0.740, 0.740, 0.740)
Ag (0.402, 0.402, 0.402)
Ag (0.598, 0.598, 0.598)

(19)
DFT (PBE) results for a relaxed structure of La2InNiAg.

## Properties
* space group: P4/mmm
* VASP energy: -4.47 eV per atom
* ΔE_f: -0.22 eV/atom

Cell: 5.396 5.396 4.886 Å, 90.00 90.00 90.00°
Element x y z (fractional)
La (0.000, 0.500, 0.000)
La (0.500, 0.000, 0.000)
In (0.000, 0.000, 0.500)
Ni (0.000, 0.000, 0.000)
Ag (0.500, 0.500, 0.500)

(20)
DFT (PBE) results for a relaxed structure of LaInNiAg.

## Properties
* space group: F-43m
* VASP energy: -4.31 eV per atom
* ΔE_f: -0.24 eV/atom

Cell: 4.967 4.967 4.967 Å, 60.00 60.00 60.00°
Element x y z (fractional)
La (0.000, 0.000, 0.000)
In (0.500, 0.500, 0.500)
Ni (0.250, 0.250, 0.250)
Ag (0.750, 0.750, 0.750)

(21)
DFT (PBE) results for a relaxed structure of LaIn2NiAg.

## Properties
* space group: P4/mmm
* VASP energy: -4.00 eV per atom
* ΔE_f: -0.19 eV/atom
* energy relative to the lowest polymorph listed for this composition: 10.8 meV per atom

Cell: 4.898 4.898 5.035 Å, 90.00 90.00 90.00°
Element x y z (fractional)
La (0.000, 0.000, 0.000)
In (0.000, 0.500, 0.500)
In (0.500, 0.000, 0.500)
Ni (0.500, 0.500, 0.500)
Ag (0.500, 0.500, 0.000)

(22)
DFT (PBE) results for a relaxed structure of LaIn2NiAg.

## Properties
* space group: P4/mmm
* VASP energy: -4.01 eV per atom
* ΔE_f: -0.20 eV/atom
* energy relative to the lowest polymorph listed for this composition: 0.0 meV per atom

Cell: 5.007 5.007 5.096 Å, 90.00 90.00 90.00°
Element x y z (fractional)
La (0.000, 0.000, 0.000)
In (0.000, 0.500, 0.500)
In (0.500, 0.000, 0.500)
Ni (0.000, 0.000, 0.500)
Ag (0.500, 0.500, 0.000)

(23)
DFT (PBE) results for a relaxed structure of La4InAgO.

## Properties
* space group: Cmcm
* VASP energy: -5.29 eV per atom

Cell: 8.764 8.764 7.117 Å, 90.00 90.00 132.08°
Element x y z (fractional)
La (0.000, 0.500, 0.000)
La (0.000, 0.500, 0.500)
La (0.069, 0.931, 0.750)
La (0.419, 0.581, 0.750)
La (0.500, 0.000, 0.000)
La (0.500, 0.000, 0.500)
La (0.581, 0.419, 0.250)
La (0.931, 0.069, 0.250)
In (0.384, 0.616, 0.250)
In (0.616, 0.384, 0.750)
Ag (0.120, 0.880, 0.250)
Ag (0.880, 0.120, 0.750)
O (0.250, 0.750, 0.750)
O (0.750, 0.250, 0.250)

(24)
DFT (PBE) results for a relaxed structure of LaInAgPd.

## Properties
* space group: Cm
* VASP energy: -4.47 eV per atom
* ΔE_f: -0.54 eV/atom

Cell: 4.839 4.839 5.446 Å, 116.55 116.55 59.86°
Element x y z (fractional)
La (0.000, 0.000, 0.000)
In (0.522, 0.522, 0.567)
Ag (0.778, 0.778, 0.332)
Pd (0.209, 0.209, 0.627)